An optimized crystal structure of La2NdRh, computed with PBE.

Summary:
SG: R3m (160)
Energy relative to the elements: -0.34 eV per atom
Polymorph energy (0 for the lowest one): 103.5 meV per atom

POSCAR file:
```
La2NdRh
1.0
4.014 0.000 0.000
2.007 3.476 0.000
2.007 1.159 9.497
La Nd Rh
2 1 1
direct
0.059 0.059 0.823
0.274 0.274 0.177
0.500 0.500 0.499
0.666 0.666 0.001
```

An optimized crystal structure of NdScCdPb, computed with PBE.

Summary:
SG: F-43m (216)
Energy relative to the elements: -0.35 eV per atom

POSCAR file:
```
NdScCdPb
1.0
5.299 0.000 0.000
2.649 4.589 0.000
2.649 1.530 4.326
Pb Sc Nd Cd
1 1 1 1
direct
0.500 0.500 0.500
0.750 0.750 0.750
0.250 0.250 0.250
0.000 0.000 0.000
```

An optimized crystal structure of ZrAg3I, computed with PBE.

Summary:
SG: Pm-3m (221)
Formation energy from raw total energies: 119.9 kJ/mol of atoms
Polymorph energy (0 for the lowest one): 199.1 meV per atom

POSCAR file:
```
ZrAg3I
1.0
5.311 0.000 0.000
0.000 5.311 0.000
0.000 0.000 5.311
I Zr Ag
1 1 3
direct
0.000 0.000 0.000
0.500 0.500 0.500
0.000 0.500 0.000
0.000 0.000 0.500
0.500 0.000 0.000
```

An optimized crystal structure of AgSb2OsPb, computed with PBE.

Summary:
SG: P4/mmm (123)
Formation energy from raw total energies: 128.1 kJ/mol of atoms

POSCAR file:
```
AgSb2OsPb
1.0
-2.235 -4.776 -0.207
2.764 -1.469 4.047
-3.837 1.656 3.222
Pb Sb Os Ag
1 2 1 1
direct
0.500 0.500 0.500
0.000 0.000 0.500
0.500 0.000 0.000
0.000 0.500 0.000
0.000 0.000 0.000
```